The following is a GGA-PBE calculation of MgZn2Ir after structural relaxation, from Alexandria via LeMat-Bulk.

* calculated total energy: -3.15 eV per atom
* ρ: 8.0 g/cm³
* DOS at the Fermi energy: 2.975 states/eV/f.u.

a b c (Å): 2.7220 4.5040 11.8293
angles (deg): 90.00 90.00 90.00
Last column: nearest neighbours and their distance in Å.
Space group Immm (No. 71)
Inequivalent atoms, fractional coordinates:
Mg1 0.0000 0.0000 0.0000 [2 per cell]  4 Ir 2.63, 2 Mg 2.72
Zn1 0.0000 0.0000 0.2861 [4 per cell]  1 Ir 2.53, 6 Zn 2.72-2.77
Ir1 0.0000 0.0000 0.5000 [2 per cell]  2 Zn 2.53, 4 Mg 2.63, 2 Ir 2.72

=====

The following is a GGA-PBE calculation of Mg2Zn4Ir3 after structural relaxation, from Alexandria via LeMat-Bulk.

* calculated total energy: -4.05 eV per atom
* ρ: 10.3 g/cm³
* DOS at the Fermi energy: 4.644 states/eV/f.u.

a b c (Å): 11.3945 8.4005 7.8918
angles (deg): 90.00 130.62 90.00
Last column: nearest neighbours and their distance in Å.
Space group C2/c (No. 15)
Inequivalent atoms, fractional coordinates:
Mg1 0.2387 0.1473 0.3074 [8 per cell]  4 Ir 2.74-3.01, 7 Zn 2.76-2.94
Zn1 0.0551 0.3756 0.9698 [8 per cell]  2 Zn 2.64-2.82, 5 Ir 2.67-2.73, 3 Mg 2.81-2.94
Zn2 0.0810 0.0862 0.4667 [8 per cell]  3 Ir 2.57-2.61, 2 Zn 2.62-2.65, 4 Mg 2.76-2.83
Ir1 0.0000 0.3547 0.2500 [4 per cell]  6 Zn 2.61-2.67, 2 Mg 2.74
Ir2 0.1479 0.1527 0.8390 [8 per cell]  5 Zn 2.57-2.73, 2 Ir 2.62-2.68, 2 Mg 2.79-2.80

=====

The lowest calculated total energy belongs to which entry?
Mg2Zn4Ir3